(1)
{"formula": "YSiHg", "functional": "GGA-PBE", "state": "relaxed", "lattice_angstrom": [[-4.387, -2.791, 1.763], [-2.921, -3.149, -3.419], [5.086, 0.924, 1.850]], "species": ["Hg", "Si", "Y"], "fractional_positions": [[0.995, 0.995, 0.000], [0.330, 0.330, 0.000], [0.675, 0.675, 0.000]], "e_tot_ev_per_cell": -12.63, "n_ef_per_ev_fu": 1.71, "raw_formation_energy_mev_per_atom": -146, "total_magnetization_mub_per_fu": 0.00, "relative_energy_mev_per_atom": 393, "volume_a3_per_cell": 69}

(2)
{"formula": "KCaPd3", "functional": "GGA-PBE", "state": "relaxed", "lattice_angstrom": [[5.186, 0.000, 0.000], [0.000, 5.186, 0.000], [0.000, 0.000, 5.186]], "species": ["Pd", "Pd", "Pd", "K", "Ca"], "fractional_positions": [[0.500, 0.000, 0.000], [0.000, 0.500, 0.000], [0.000, 0.000, 0.500], [0.500, 0.500, 0.500], [0.000, 0.000, 0.000]], "e_tot_ev_per_cell": -16.92, "n_ef_per_ev_fu": 1.90, "formation_enthalpy_0k_ev_per_atom": 0.352, "total_magnetization_mub_per_fu": 0.00, "relative_energy_mev_per_atom": 0, "volume_a3_per_cell": 139}

(3)
{"formula": "GdEr2Ag", "functional": "GGA-PBE", "state": "relaxed", "lattice_angstrom": [[3.713, 0.000, 0.000], [0.000, 5.377, 0.000], [0.000, 0.000, 5.377]], "species": ["Er", "Ag", "Gd", "Er"], "fractional_positions": [[0.000, 0.000, 0.500], [0.500, 0.500, 0.500], [0.500, 0.000, 0.000], [0.000, 0.500, 0.000]], "e_tot_ev_per_cell": -25.99, "n_ef_per_ev_fu": 6.32, "formation_enthalpy_0k_ev_per_atom": 0.017, "total_magnetization_mub_per_fu": 7.43, "relative_energy_mev_per_atom": 144, "volume_a3_per_cell": 107}

(4)
{"formula": "Rb3Tl4Bi2", "functional": "GGA-PBE", "state": "relaxed", "lattice_angstrom": [[-3.400, -2.834, -1.971], [4.501, -4.868, 5.192], [-7.464, 5.419, 5.080]], "species": ["Rb", "Bi", "Tl", "Bi", "Tl", "Rb", "Tl", "Tl", "Rb"], "fractional_positions": [[0.606, 0.212, 0.378], [0.754, 0.508, 0.759], [0.664, 0.328, 0.989], [0.246, 0.492, 0.241], [0.336, 0.672, 0.011], [0.000, 0.000, 0.000], [0.113, 0.227, 0.716], [0.887, 0.773, 0.284], [0.394, 0.788, 0.622]], "e_tot_ev_per_cell": -21.87, "n_ef_per_ev_fu": 2.98, "formation_enthalpy_0k_ev_per_atom": -0.194, "total_magnetization_mub_per_fu": 0.00, "relative_energy_mev_per_atom": 0, "volume_a3_per_cell": 378}

(5)
{"formula": "Pu5Si3", "functional": "GGA-PBE", "state": "relaxed", "lattice_angstrom": [[4.924, 0.030, -1.391], [-1.873, 4.554, -1.391], [0.055, 0.082, 7.037]], "species": ["Pu", "Si", "Pu", "Pu", "Pu", "Si", "Si", "Pu"], "fractional_positions": [[0.872, 0.372, 0.743], [0.757, 0.757, 0.515], [0.628, 0.128, 0.257], [0.128, 0.628, 0.257], [0.000, 0.000, 0.000], [0.500, 0.500, 0.000], [0.243, 0.243, 0.485], [0.372, 0.872, 0.743]], "e_tot_ev_per_cell": -90.06, "n_ef_per_ev_fu": 22.89, "raw_formation_energy_mev_per_atom": -267, "total_magnetization_mub_per_fu": 15.59, "volume_a3_per_cell": 159}

(6)
{"formula": "BaZn4Pt", "functional": "GGA-PBE", "state": "relaxed", "lattice_angstrom": [[4.116, 0.000, 0.000], [0.000, 7.782, 0.000], [0.000, 0.000, 8.178]], "species": ["Pt", "Zn", "Zn", "Ba", "Ba", "Pt", "Zn", "Zn", "Zn", "Zn", "Zn", "Zn"], "fractional_positions": [[0.000, 0.817, 0.250], [0.500, 0.059, 0.250], [0.500, 0.760, 0.446], [0.000, 0.406, 0.250], [0.000, 0.594, 0.750], [0.000, 0.183, 0.750], [0.500, 0.941, 0.750], [0.500, 0.240, 0.554], [0.000, 0.000, 0.500], [0.000, 0.000, 0.000], [0.500, 0.240, 0.946], [0.500, 0.760, 0.054]], "e_tot_ev_per_cell": -30.39, "n_ef_per_ev_fu": 2.55, "formation_enthalpy_0k_ev_per_atom": -0.356, "total_magnetization_mub_per_fu": 0.00, "relative_energy_mev_per_atom": 0, "volume_a3_per_cell": 262}